Entry 1:
Entry from Alexandria via LeMat-Bulk: an optimized crystal structure of Re3PtSe (GGA-PBE).

Calculated values
For the energy relative to the lowest polymorph listed for this composition, the calculation gives 0.0 meV/atom. The energy relative to the elements, uncorrected comes out at 1704 meV/atom. As for the symmetry: Pm-3m (221).

```
Re3PtSe
1.0
4.4912 0.0000 0.0000
0.0000 4.4912 0.0000
0.0000 0.0000 4.4912
Re Pt Se
3 1 1
Direct
0.5000 0.0000 0.0000
0.0000 0.0000 0.5000
0.0000 0.5000 0.0000
0.5000 0.5000 0.5000
0.0000 0.0000 0.0000
```


Entry 2:
Entry from Alexandria via LeMat-Bulk: an optimized crystal structure of RbMg2TiSn (GGA-PBE).

Calculated values
For the calculated formation energy, the calculation gives 0.52 eV/atom. As for the symmetry: P4/mmm (123).

```
RbMg2TiSn
1.0
-5.4386 -0.7533 1.4124
-0.7595 -3.0123 -4.5311
1.3957 -4.6808 2.8779
Mg Ti Sn Rb
2 1 1 1
Direct
0.5000 0.0000 0.0000
0.0000 0.0000 0.5000
0.0000 0.5000 0.0000
0.0000 0.0000 0.0000
0.5000 0.5000 0.5000
```


Entry 3:
Entry from Alexandria via LeMat-Bulk: an optimized crystal structure of RbTa2CdBi (GGA-PBE).

Calculated values
For the calculated formation energy, the calculation gives 2.72 eV/atom. As for the symmetry: P4/mmm (123).

```
RbTa2CdBi
1.0
4.9881 0.0000 0.0000
0.0000 5.6409 0.0000
0.0000 0.0000 4.9881
Ta Bi Cd Rb
2 1 1 1
Direct
0.0000 0.0000 0.5000
0.5000 0.0000 0.0000
0.5000 0.5000 0.5000
0.0000 0.5000 0.0000
0.0000 0.0000 0.0000
```


Entry 4:
Entry from Alexandria via LeMat-Bulk: an optimized crystal structure of Sm2TiZn2Pd5 (GGA-PBE).

Calculated values
For the calculated formation energy, the calculation gives -0.65 eV/atom. As for the symmetry: P4/mbm (127).

```
Sm2TiZn2Pd5
1.0
-3.6840 -0.5838 0.2712
-0.6026 -0.7563 -9.8154
1.5871 -9.7125 0.6509
Sm Zn Pd Ti
4 4 10 2
Direct
0.0000 0.6760 0.1760
0.0000 0.8240 0.6760
0.0000 0.1760 0.3240
0.0000 0.3240 0.8240
0.0000 0.6223 0.8777
0.0000 0.1223 0.6223
0.0000 0.3777 0.1223
0.0000 0.8777 0.3777
0.5000 0.6999 0.4391
0.5000 0.3001 0.5609
0.5000 0.5609 0.6999
0.5000 0.9391 0.1999
0.5000 0.8001 0.9391
0.5000 0.5000 0.0000
0.5000 0.0000 0.5000
0.5000 0.1999 0.0609
0.5000 0.0609 0.8001
0.5000 0.4391 0.3001
0.0000 0.5000 0.5000
0.0000 0.0000 0.0000
```


Entry 5:
Entry from Alexandria via LeMat-Bulk: an optimized crystal structure of Sr3PmU2P6 (GGA-PBE).

Calculated values
For the calculated formation energy, the calculation gives -1.13 eV/atom. As for the symmetry: C2/m (12).

```
Sr3PmU2P6
1.0
7.1961 -0.0006 -0.0002
-3.5968 6.2327 -0.0002
-1.2009 -2.0793 6.9369
P Sr Pm U
6 3 1 2
Direct
0.7233 0.7233 0.2146
0.5798 0.9282 0.7855
0.9282 0.5798 0.7855
0.0718 0.4202 0.2145
0.4202 0.0718 0.2145
0.2767 0.2767 0.7854
0.8361 0.1639 0.5000
0.5000 0.5000 0.5000
0.1639 0.8361 0.5000
0.0000 0.0000 0.0000
0.6671 0.3329 0.0000
0.3329 0.6671 0.0000
```


Entry 6:
Entry from Alexandria via LeMat-Bulk: an optimized crystal structure of Sc2Al2SiRh5 (GGA-PBE).

Calculated values
The energy relative to the elements, uncorrected comes out at -874 meV/atom. As for the symmetry: P4/mbm (127).

```
Sc2Al2SiRh5
1.0
3.2862 0.0000 0.0000
0.0000 9.6789 0.0000
0.0000 0.0000 9.6789
Al Rh Sc Si
4 10 4 2
Direct
0.0000 0.1292 0.6292
0.0000 0.6292 0.8708
0.0000 0.8708 0.3708
0.0000 0.3708 0.1292
0.5000 0.6952 0.4341
0.5000 0.5659 0.6952
0.5000 0.9341 0.1952
0.5000 0.8048 0.9341
0.5000 0.0000 0.5000
0.5000 0.1952 0.0659
0.5000 0.4341 0.3048
0.5000 0.3048 0.5659
0.5000 0.5000 0.0000
0.5000 0.0659 0.8048
0.0000 0.1709 0.3291
0.0000 0.8291 0.6709
0.0000 0.3291 0.8291
0.0000 0.6709 0.1709
0.0000 0.5000 0.5000
0.0000 0.0000 0.0000
```


no.,ρ (g/cm3)
1,15.26
2,2.83
3,9.10
4,9.23
5,5.71
6,7.41